This record from OQMD via LeMat-Bulk describes a relaxed structure of TmBiPO5. The functional is PBE.

Cell and atoms, written as POSCAR:
```
TmBiPO5
1.0
5.689 0.000 0.000
-1.435 6.249 0.000
-2.013 -1.718 6.272
Tm Bi P O
2 2 2 10
direct
0.134 0.100 0.283 Tm
0.866 0.900 0.717 Tm
0.408 0.704 0.960 Bi
0.592 0.296 0.040 Bi
0.234 0.685 0.412 P
0.766 0.315 0.588 P
0.045 0.808 0.462 O
0.097 0.449 0.268 O
0.202 0.108 0.974 O
0.374 0.836 0.298 O
0.444 0.682 0.616 O
0.556 0.318 0.384 O
0.626 0.164 0.702 O
0.798 0.892 0.026 O
0.903 0.551 0.732 O
0.955 0.192 0.538 O
```

Output
For the calculated volume, the calculation gives 13.94 Å³/atom. The value obtained for the total energy is -7.259 eV per atom. The space-group type is No. 2. Its total magnetization is 0.00 μB/f.u. The crystal system is triclinic.

This record from OQMD via LeMat-Bulk describes a relaxed structure of SrZnF4. The functional is PBE.

Cell and atoms, written as POSCAR:
```
SrZnF4
1.0
-2.755 2.755 5.314
2.755 -2.755 5.314
2.755 2.755 -5.314
Sr Zn F
2 2 8
direct
0.250 0.250 0.000 Sr
0.750 0.750 0.000 Sr
0.000 0.500 0.500 Zn
0.500 0.000 0.500 Zn
0.066 0.566 0.876 F
0.190 0.066 0.500 F
0.310 0.810 0.876 F
0.434 0.310 0.500 F
0.566 0.690 0.500 F
0.690 0.190 0.124 F
0.810 0.934 0.500 F
0.934 0.434 0.124 F
```

Output
For the calculated volume, the calculation gives 13.44 Å³/atom. The value obtained for the total energy is -4.794 eV per atom. The space-group type is No. 140. The crystal system is tetragonal.

This record from OQMD via LeMat-Bulk describes a relaxed structure of LaInHg2. The functional is PBE.

Cell and atoms, written as POSCAR:
```
LaInHg2
1.0
5.323 0.000 0.000
-2.662 4.610 0.000
0.000 0.000 9.414
La In Hg
2 2 4
direct
0.000 0.000 0.250 La
0.000 0.000 0.750 La
0.333 0.667 0.250 In
0.667 0.333 0.750 In
0.333 0.667 0.576 Hg
0.333 0.667 0.924 Hg
0.667 0.333 0.076 Hg
0.667 0.333 0.424 Hg
```

Output
The energy above the most stable polymorph in this dataset is 333.8 meV per atom. For the calculated volume, the calculation gives 28.88 Å³/atom. The space-group type is No. 194. Its total magnetization is 0.00 μB/f.u. The crystal system is hexagonal.

This record from OQMD via LeMat-Bulk describes a relaxed structure of NaZrCu3S4. The functional is PBE.

Cell and atoms, written as POSCAR:
```
NaZrCu3S4
1.0
5.643 0.000 0.000
0.000 7.210 0.000
-2.667 0.000 8.994
Na Zr Cu S
2 2 6 8
direct
0.225 0.250 0.123 Na
0.775 0.750 0.877 Na
0.399 0.250 0.701 Zr
0.601 0.750 0.299 Zr
0.060 0.750 0.238 Cu
0.214 0.556 0.480 Cu
0.214 0.944 0.480 Cu
0.786 0.056 0.520 Cu
0.786 0.444 0.520 Cu
0.940 0.250 0.762 Cu
0.135 0.513 0.717 S
0.135 0.987 0.717 S
0.270 0.750 0.071 S
0.441 0.250 0.445 S
0.559 0.750 0.555 S
0.730 0.250 0.929 S
0.865 0.013 0.283 S
0.865 0.487 0.283 S
```

Output
The energy above the most stable polymorph in this dataset is 33.3 meV per atom. For the calculated volume, the calculation gives 20.33 Å³/atom. The space-group type is No. 11. Its total magnetization is 0.00 μB/f.u. The crystal system is monoclinic.

This record from OQMD via LeMat-Bulk describes a relaxed structure of AcErPb. The functional is PBE.

Cell and atoms, written as POSCAR:
```
AcErPb
1.0
7.889 0.000 0.000
0.000 7.889 0.000
0.000 0.000 7.889
Ac Er Pb
4 4 4
direct
0.000 0.000 0.000 Ac
0.000 0.500 0.500 Ac
0.500 0.000 0.500 Ac
0.500 0.500 0.000 Ac
0.250 0.250 0.750 Er
0.250 0.750 0.250 Er
0.750 0.250 0.250 Er
0.750 0.750 0.750 Er
0.250 0.250 0.250 Pb
0.250 0.750 0.750 Pb
0.750 0.250 0.750 Pb
0.750 0.750 0.250 Pb
```

Output
The energy above the most stable polymorph in this dataset is 549.1 meV per atom. For the calculated volume, the calculation gives 40.92 Å³/atom. The space-group type is No. 216. Its total magnetization is 0.01 μB/f.u. The crystal system is cubic.

This record from OQMD via LeMat-Bulk describes a relaxed structure of La2ZnAs2PdO2. The functional is PBE.

Cell and atoms, written as POSCAR:
```
La2ZnAs2PdO2
1.0
4.117 0.000 0.000
0.000 4.117 0.000
0.000 0.000 8.787
La Zn As Pd O
2 1 2 1 2
direct
0.000 0.500 0.137 La
0.500 0.000 0.863 La
0.000 0.000 0.500 Zn
0.000 0.500 0.673 As
0.500 0.000 0.327 As
0.500 0.500 0.500 Pd
0.000 0.000 0.000 O
0.500 0.500 0.000 O
```

Output
For the calculated volume, the calculation gives 18.61 Å³/atom. The value obtained for the total energy is -6.304 eV per atom. The space-group type is No. 115. Its total magnetization is 0.01 μB/f.u. The crystal system is tetragonal.

This record from OQMD via LeMat-Bulk describes a relaxed structure of TmZrSc. The functional is PBE.

Cell and atoms, written as POSCAR:
```
TmZrSc
1.0
7.064 0.000 0.000
0.000 7.064 0.000
0.000 0.000 7.064
Tm Zr Sc
4 4 4
direct
0.000 0.000 0.000 Tm
0.000 0.500 0.500 Tm
0.500 0.000 0.500 Tm
0.500 0.500 0.000 Tm
0.000 0.000 0.500 Zr
0.000 0.500 0.000 Zr
0.500 0.000 0.000 Zr
0.500 0.500 0.500 Zr
0.250 0.250 0.250 Sc
0.250 0.750 0.750 Sc
0.750 0.250 0.750 Sc
0.750 0.750 0.250 Sc
```

Output
The energy above the most stable polymorph in this dataset is 0.0 meV per atom. For the calculated volume, the calculation gives 29.37 Å³/atom. The space-group type is No. 216. Its total magnetization is 0.08 μB/f.u. Its calculated formation energy is 0.868 eV/atom. The crystal system is cubic.

This record from OQMD via LeMat-Bulk describes a relaxed structure of GdInNO. The functional is PBE.

Cell and atoms, written as POSCAR:
```
GdInNO
1.0
3.854 0.000 0.000
0.000 6.336 0.000
0.000 0.000 5.923
Gd In N O
2 2 2 2
direct
0.000 0.184 0.000 Gd
0.000 0.816 0.500 Gd
0.500 0.321 0.514 In
0.500 0.679 0.014 In
0.500 0.352 0.894 N
0.500 0.648 0.394 N
0.000 0.151 0.377 O
0.000 0.849 0.877 O
```

Output
The energy above the most stable polymorph in this dataset is 190.2 meV per atom. For the calculated volume, the calculation gives 18.08 Å³/atom. The space-group type is No. 26. Its total magnetization is 0.00 μB/f.u. The crystal system is orthorhombic.